# PBE CeThSb2, optimized geometry
data_CeThSb2
_symmetry_space_group_name_H-M 'P 1'
_symmetry_Int_Tables_number 1
_cell_length_a 4.3698
_cell_length_b 4.3698
_cell_length_c 23.5855
_cell_angle_alpha 90.00
_cell_angle_beta 90.00
_cell_angle_gamma 120.00
loop_
_symmetry_equiv_pos_as_xyz
'x,y,z'
loop_
_atom_site_label
_atom_site_fract_x
_atom_site_fract_y
_atom_site_fract_z
_atom_site_occupancy
Ce1 0.0000 0.0000 0.0000 1
Ce2 0.3333 0.6667 0.6667 1
Ce3 0.6667 0.3333 0.3333 1
Th1 0.0000 0.0000 0.1725 1
Th2 0.3333 0.6667 0.8391 1
Th3 0.6667 0.3333 0.5058 1
Sb1 0.0000 0.0000 0.4187 1
Sb2 0.0000 0.0000 0.5885 1
Sb3 0.3333 0.6667 0.0854 1
Sb4 0.3333 0.6667 0.2551 1
Sb5 0.6667 0.3333 0.7520 1
Sb6 0.6667 0.3333 0.9218 1
# - E_form (uncorrected): -3.56 eV per formula unit

# PBE CsKRb2Cu, optimized geometry
data_CsKRb2Cu
_symmetry_space_group_name_H-M 'P 1'
_symmetry_Int_Tables_number 1
_cell_length_a 6.8283
_cell_length_b 6.8283
_cell_length_c 6.9361
_cell_angle_alpha 90.00
_cell_angle_beta 90.00
_cell_angle_gamma 90.00
loop_
_symmetry_equiv_pos_as_xyz
'x,y,z'
loop_
_atom_site_label
_atom_site_fract_x
_atom_site_fract_y
_atom_site_fract_z
_atom_site_occupancy
Cs1 0.0000 0.0000 0.0000 1
K1 0.5000 0.5000 0.0000 1
Rb1 0.0000 0.5000 0.5000 1
Rb2 0.5000 0.0000 0.5000 1
Cu1 0.0000 0.0000 0.5000 1
# - DFT formation energy: 0.2203 eV per atom

no.,spin magnetization (Bohr magnetons per cell),relative energy among the computed polymorphs (meV per atom)
1,1.8,105
2,0.2,7